# GdErCu2As4 PBE optimized geometry
data_GdErCu2As4
_symmetry_space_group_name_H-M 'P 1'
_symmetry_Int_Tables_number 1
_cell_length_a 3.909
_cell_length_b 3.909
_cell_length_c 9.841
_cell_angle_alpha 90.00
_cell_angle_beta 90.00
_cell_angle_gamma 90.00
loop_
_symmetry_equiv_pos_as_xyz
'x,y,z'
loop_
_atom_site_label
_atom_site_type_symbol
_atom_site_fract_x
_atom_site_fract_y
_atom_site_fract_z
_atom_site_occupancy
Gd1 Gd 0.000 0.000 0.000 1
Er1 Er 0.500 0.500 0.526 1
Cu1 Cu 0.000 0.500 0.265 1
Cu2 Cu 0.500 0.000 0.265 1
As1 As 0.000 0.000 0.426 1
As2 As 0.000 0.500 0.761 1
As3 As 0.500 0.000 0.761 1
As4 As 0.500 0.500 0.105 1
# V	18.80	Å³ per atom
# E	-5.23	eV per atom